1.
{"formula": "Zn17Co3", "functional": "meta-GGA SCAN", "state": "PBEsol geometry", "lattice": [[10.981, 0.000, 0.000], [-5.491, 9.510, 0.000], [0.000, 0.000, 7.539]], "species": ["Zn", "Zn", "Zn", "Zn", "Zn", "Zn", "Zn", "Zn", "Zn", "Zn", "Zn", "Zn", "Zn", "Zn", "Zn", "Zn", "Zn", "Zn", "Zn", "Zn", "Zn", "Zn", "Zn", "Zn", "Zn", "Zn", "Zn", "Zn", "Zn", "Zn", "Zn", "Zn", "Zn", "Zn", "Zn", "Zn", "Zn", "Zn", "Zn", "Zn", "Zn", "Zn", "Zn", "Zn", "Zn", "Zn", "Zn", "Zn", "Zn", "Zn", "Zn", "Co", "Co", "Co", "Co", "Co", "Co", "Co", "Co", "Co"], "fractional_positions": [[0.000, 0.500, 0.008], [0.024, 0.813, 0.679], [0.069, 0.848, 0.323], [0.070, 0.758, 0.000], [0.108, 0.628, 0.711], [0.110, 0.630, 0.310], [0.112, 0.429, 0.508], [0.152, 0.221, 0.989], [0.156, 0.423, 0.179], [0.187, 0.211, 0.345], [0.211, 0.024, 0.012], [0.221, 0.069, 0.656], [0.242, 0.312, 0.667], [0.267, 0.844, 0.513], [0.279, 0.661, 0.001], [0.312, 0.070, 0.333], [0.316, 0.888, 0.841], [0.339, 0.617, 0.668], [0.370, 0.480, 0.977], [0.372, 0.480, 0.378], [0.383, 0.721, 0.335], [0.423, 0.267, 0.846], [0.429, 0.316, 0.174], [0.480, 0.108, 0.044], [0.480, 0.110, 0.643], [0.500, 0.000, 0.341], [0.500, 0.500, 0.675], [0.520, 0.890, 0.643], [0.520, 0.892, 0.044], [0.571, 0.684, 0.174], [0.577, 0.733, 0.846], [0.617, 0.279, 0.335], [0.628, 0.520, 0.378], [0.630, 0.520, 0.977], [0.661, 0.383, 0.668], [0.684, 0.112, 0.841], [0.688, 0.930, 0.333], [0.721, 0.339, 0.001], [0.733, 0.156, 0.513], [0.758, 0.688, 0.667], [0.779, 0.931, 0.656], [0.789, 0.976, 0.012], [0.813, 0.789, 0.345], [0.844, 0.577, 0.179], [0.848, 0.779, 0.989], [0.888, 0.571, 0.508], [0.890, 0.370, 0.310], [0.892, 0.372, 0.711], [0.930, 0.242, 0.000], [0.931, 0.152, 0.323], [0.976, 0.187, 0.679], [0.000, 0.000, 0.167], [0.000, 0.000, 0.500], [0.000, 0.000, 0.833], [0.140, 0.425, 0.839], [0.286, 0.860, 0.172], [0.425, 0.286, 0.505], [0.575, 0.714, 0.505], [0.714, 0.140, 0.172], [0.860, 0.575, 0.839]], "total_energy_ev_per_atom": -14.14, "space_group": "P6_2 (171)", "magnetic_moment_mub_per_fu": 1.22}

2.
{"formula": "ZnCo3", "functional": "meta-GGA SCAN", "state": "PBEsol geometry", "lattice": [[2.505, 0.000, 0.000], [0.000, 3.468, 0.000], [0.000, 0.000, 5.025]], "species": ["Zn", "Co", "Co", "Co"], "fractional_positions": [[0.000, 0.000, 0.000], [0.000, 0.000, 0.500], [0.500, 0.500, 0.261], [0.500, 0.500, 0.739]], "total_energy_ev_per_atom": -16.33, "space_group": "Pmmm (47)", "magnetic_moment_mub_per_fu": 4.97}

3.
{"formula": "Zn2Co", "functional": "meta-GGA SCAN", "state": "PBEsol geometry", "lattice": [[4.720, -1.310, 0.000], [4.720, 1.310, 0.000], [-1.570, 0.000, 5.887]], "species": ["Zn", "Zn", "Zn", "Zn", "Co", "Co"], "fractional_positions": [[0.000, 0.000, 0.000], [0.049, 0.049, 0.599], [0.380, 0.380, 0.279], [0.722, 0.722, 0.933], [0.324, 0.324, 0.654], [0.667, 0.667, 0.338]], "total_energy_ev_per_atom": -14.76, "space_group": "Cm (8)", "magnetic_moment_mub_per_fu": 1.30}

4.
{"formula": "ZnCo5", "functional": "meta-GGA SCAN", "state": "PBEsol geometry", "lattice": [[2.484, 0.000, 0.000], [0.000, 4.017, 0.000], [-1.251, 0.000, 6.424]], "species": ["Zn", "Co", "Co", "Co", "Co", "Co"], "fractional_positions": [[0.000, 0.000, 0.000], [0.223, 0.500, 0.445], [0.329, 0.000, 0.658], [0.559, 0.500, 0.117], [0.670, 0.000, 0.341], [0.887, 0.500, 0.773]], "total_energy_ev_per_atom": -16.61, "space_group": "Pm (6)", "magnetic_moment_mub_per_fu": 8.51}

5.
{"formula": "Zn3Co", "functional": "meta-GGA SCAN", "state": "PBEsol geometry", "lattice": [[4.143, 2.392, 0.843], [-4.143, 2.392, 0.843], [0.000, -4.784, 0.843]], "species": ["Zn", "Zn", "Zn", "Co"], "fractional_positions": [[0.000, 0.500, 0.500], [0.500, 0.000, 0.500], [0.500, 0.500, 0.000], [0.000, 0.000, 0.000]], "total_energy_ev_per_atom": -14.48, "space_group": "R-3m (166)", "magnetic_moment_mub_per_fu": 1.77}

6.
{"formula": "ZnCo", "functional": "meta-GGA SCAN", "state": "PBEsol geometry", "lattice": [[4.369, 0.000, 0.000], [0.000, 4.134, 0.000], [0.000, 0.000, 5.123]], "species": ["Zn", "Zn", "Zn", "Zn", "Co", "Co", "Co", "Co"], "fractional_positions": [[0.084, 0.250, 0.125], [0.416, 0.750, 0.625], [0.584, 0.250, 0.375], [0.916, 0.750, 0.875], [0.066, 0.250, 0.624], [0.434, 0.750, 0.124], [0.566, 0.250, 0.876], [0.934, 0.750, 0.376]], "total_energy_ev_per_atom": -15.36, "space_group": "Pnma (62)", "magnetic_moment_mub_per_fu": 1.59}